1.
# ScMn2Br | the Alexandria database | PBE | relaxed
# VASP energy (eV per atom): -6.216
data_ScMn2Br
_space_group_name_H-M_alt 'I -4 m 2'
_space_group_IT_number 119
_space_group_name_Hall 'I -4 -2'
_cell_length_a 4.123
_cell_length_b 4.123
_cell_length_c 8.671
_cell_angle_alpha 90.00
_cell_angle_beta 90.00
_cell_angle_gamma 90.00
loop_
_atom_site_label
_atom_site_fract_x
_atom_site_fract_y
_atom_site_fract_z
Sc1 0.000 0.000 0.000
Mn1 0.000 0.000 0.500
Mn2 0.000 0.500 0.250
Br1 0.000 0.500 0.750



2.
# Sc2MnBr | the Alexandria database | PBE | relaxed
# VASP energy (eV per atom): -6.056
data_Sc2MnBr
_space_group_name_H-M_alt 'A m m 2'
_space_group_IT_number 38
_space_group_name_Hall 'A 2 -2'
_cell_length_a 4.702
_cell_length_b 3.242
_cell_length_c 10.219
_cell_angle_alpha 90.00
_cell_angle_beta 90.00
_cell_angle_gamma 90.00
loop_
_atom_site_label
_atom_site_fract_x
_atom_site_fract_y
_atom_site_fract_z
Sc1 0.000 0.000 0.000
Sc2 0.500 0.000 0.283
Mn1 0.000 0.000 0.739
Br1 0.500 0.000 0.553



3.
# ScMnBr2 | the Alexandria database | PBE | relaxed
# VASP energy (eV per atom): -5.385
data_ScMnBr2
_space_group_name_H-M_alt 'R 3 m'
_space_group_IT_number 160
_space_group_name_Hall 'R 3 -2"'
_cell_length_a 3.6315
_cell_length_b 3.6315
_cell_length_c 28.4205
_cell_angle_alpha 90.00
_cell_angle_beta 90.00
_cell_angle_gamma 120.00
loop_
_atom_site_label
_atom_site_fract_x
_atom_site_fract_y
_atom_site_fract_z
Sc1 0.0000 0.0000 0.0000
Mn1 0.0000 0.0000 0.7440
Br1 0.0000 0.0000 0.2715
Br2 0.0000 0.0000 0.4674



4.
# Sc2MnBr | the Alexandria database | PBE | relaxed
# VASP energy (eV per atom): -5.829
data_Sc2MnBr
_space_group_name_H-M_alt 'I 4/m m m'
_space_group_IT_number 139
_space_group_name_Hall '-I 4 2'
_cell_length_a 4.435
_cell_length_b 4.435
_cell_length_c 8.306
_cell_angle_alpha 90.00
_cell_angle_beta 90.00
_cell_angle_gamma 90.00
loop_
_atom_site_label
_atom_site_fract_x
_atom_site_fract_y
_atom_site_fract_z
Sc1 0.000 0.500 0.250
Mn1 0.000 0.000 0.000
Br1 0.000 0.000 0.500



5.
# Sc2MnBr | the Alexandria database | PBE | relaxed
# VASP energy (eV per atom): -5.753
data_Sc2MnBr
_space_group_name_H-M_alt 'I -4 2 d'
_space_group_IT_number 122
_space_group_name_Hall 'I -4 2bw'
_cell_length_a 7.393
_cell_length_b 7.393
_cell_length_c 6.492
_cell_angle_alpha 90.00
_cell_angle_beta 90.00
_cell_angle_gamma 90.00
loop_
_atom_site_label
_atom_site_fract_x
_atom_site_fract_y
_atom_site_fract_z
Sc1 0.239 0.250 0.125
Mn1 0.000 0.000 0.500
Br1 0.000 0.000 0.000



6.
# ScMnBr2 | the Alexandria database | PBE | relaxed
# VASP energy (eV per atom): -5.236
data_ScMnBr2
_space_group_name_H-M_alt 'C 1 m 1'
_space_group_IT_number 8
_space_group_name_Hall 'C -2y'
_cell_length_a 10.211
_cell_length_b 3.437
_cell_length_c 7.290
_cell_angle_alpha 90.00
_cell_angle_beta 120.23
_cell_angle_gamma 90.00
loop_
_atom_site_label
_atom_site_fract_x
_atom_site_fract_y
_atom_site_fract_z
Sc1 0.000 0.000 0.000
Mn1 0.286 0.000 0.662
Br1 0.061 0.500 0.340
Br2 0.192 0.500 0.950



7.
# ScMnBr2 | the Alexandria database | PBE | relaxed
# VASP energy (eV per atom): -5.188
data_ScMnBr2
_space_group_name_H-M_alt 'R -3 m'
_space_group_IT_number 166
_space_group_name_Hall '-R 3 2"'
_cell_length_a 3.5000
_cell_length_b 3.5000
_cell_length_c 28.5232
_cell_angle_alpha 90.00
_cell_angle_beta 90.00
_cell_angle_gamma 120.00
loop_
_atom_site_label
_atom_site_fract_x
_atom_site_fract_y
_atom_site_fract_z
Sc1 0.0000 0.0000 0.0000
Mn1 0.0000 0.0000 0.5000
Br1 0.0000 0.0000 0.3974



8.
# ScMn2Br | the Alexandria database | PBE | relaxed
# VASP energy (eV per atom): -6.374
data_ScMn2Br
_space_group_name_H-M_alt 'C 1 m 1'
_space_group_IT_number 8
_space_group_name_Hall 'C -2y'
_cell_length_a 9.866
_cell_length_b 3.244
_cell_length_c 5.347
_cell_angle_alpha 90.00
_cell_angle_beta 114.55
_cell_angle_gamma 90.00
loop_
_atom_site_label
_atom_site_fract_x
_atom_site_fract_y
_atom_site_fract_z
Sc1 0.000 0.000 0.000
Mn1 0.219 0.000 0.626
Mn2 0.468 0.000 0.518
Br1 0.246 0.500 0.092



9.
# ScMnBr2 | the Alexandria database | PBE | relaxed
# VASP energy (eV per atom): -4.949
data_ScMnBr2
_space_group_name_H-M_alt 'I -4 2 d'
_space_group_IT_number 122
_space_group_name_Hall 'I -4 2bw'
_cell_length_a 4.761
_cell_length_b 4.761
_cell_length_c 17.313
_cell_angle_alpha 90.00
_cell_angle_beta 90.00
_cell_angle_gamma 90.00
loop_
_atom_site_label
_atom_site_fract_x
_atom_site_fract_y
_atom_site_fract_z
Sc1 0.000 0.000 0.000
Mn1 0.000 0.000 0.500
Br1 0.248 0.250 0.625



10.
# Sc2MnBr | the Alexandria database | PBE | relaxed
# VASP energy (eV per atom): -6.175
data_Sc2MnBr
_space_group_name_H-M_alt 'C 1 2/m 1'
_space_group_IT_number 12
_space_group_name_Hall '-C 2y'
_cell_length_a 6.235
_cell_length_b 3.291
_cell_length_c 8.123
_cell_angle_alpha 90.00
_cell_angle_beta 101.90
_cell_angle_gamma 90.00
loop_
_atom_site_label
_atom_site_fract_x
_atom_site_fract_y
_atom_site_fract_z
Sc1 0.225 0.000 0.278
Mn1 0.000 0.000 0.500
Br1 0.000 0.500 0.000



11.
# ScMnBr2 | the Alexandria database | PBE | relaxed
# VASP energy (eV per atom): -5.007
data_ScMnBr2
_space_group_name_H-M_alt 'P 1 2/m 1'
_space_group_IT_number 10
_space_group_name_Hall '-P 2y'
_cell_length_a 4.673
_cell_length_b 3.485
_cell_length_c 5.722
_cell_angle_alpha 90.00
_cell_angle_beta 112.91
_cell_angle_gamma 90.00
loop_
_atom_site_label
_atom_site_fract_x
_atom_site_fract_y
_atom_site_fract_z
Sc1 0.000 0.000 0.000
Mn1 0.500 0.500 0.500
Br1 0.000 0.000 0.500
Br2 0.500 0.500 0.000



12.
# ScMnBr2 | the Alexandria database | PBE | relaxed
# VASP energy (eV per atom): -5.157
data_ScMnBr2
_space_group_name_H-M_alt 'R -3 m'
_space_group_IT_number 166
_space_group_name_Hall '-R 3 2"'
_cell_length_a 3.5116
_cell_length_b 3.5116
_cell_length_c 30.5782
_cell_angle_alpha 90.00
_cell_angle_beta 90.00
_cell_angle_gamma 120.00
loop_
_atom_site_label
_atom_site_fract_x
_atom_site_fract_y
_atom_site_fract_z
Sc1 0.0000 0.0000 0.0000
Mn1 0.0000 0.0000 0.5000
Br1 0.0000 0.0000 0.2742



Formation energy without anion corrections: 0.370; -0.180; -0.673; 0.048; 0.124; -0.524; -0.477; 0.212; -0.237; -0.299; -0.295; -0.445 (eV/atom)
Excess energy over the best structure of this formula in the dataset: 473.0; 215.9; 0.0; 443.2; 519.4; 148.9; 196.5; 314.9; 436.2; 96.9; 378.0; 228.2 (meV per atom)
Magnetization: 6.9; 1.7; 4.0; 2.2; 2.6; 4.0; 4.1; 7.4; 3.5; 1.4; 3.4; 4.3 (μB/f.u.)